Computed, not measured: IrSO after structural relaxation at the PBE-GGA level of DFT.

E_tot ... -6.37 eV per atom
Raw formation energy ... -1.16 eV per formula unit
Energy relative to the lowest polymorph listed for this composition ... 0.03 eV per formula unit
M_tot ... 0.00 μB per atom

Cell: 11.5725 3.3721 4.5618 Å, 90.00 92.02 90.00°
With the nearest neighbours (Å) after each atom.
Space group Cm (No. 8)
Symmetry-distinct sites (fractional):
Ir1 0.0000 0.0000 0.0000 x2  2 O 2.18, 2 S 2.25
Ir2 0.1636 0.5000 0.7247 x2  4 S 2.24-2.47
S1 0.1045 0.5000 0.1987 x2  4 Ir 2.25-2.47
S2 0.2834 0.0000 0.6267 x2  2 O 1.48-1.59
O1 0.3229 0.0000 0.3223 x2  1 S 1.48
O2 0.4002 0.0000 0.8218 x2  1 S 1.59

---

Computed, not measured: IrSO after structural relaxation at the PBE-GGA level of DFT.

E_tot ... -6.26 eV per atom
Raw formation energy ... -0.84 eV per formula unit
N(E_F) ... 0.93 states/eV/atom
Energy relative to the lowest polymorph listed for this composition ... 0.35 eV per formula unit
M_tot ... 0.00 μB per atom

Cell: 3.3490 3.3490 4.9547 Å, 90.00 90.00 120.00°
With the nearest neighbours (Å) after each atom.
Space group P3m1 (No. 156)
Symmetry-distinct sites (fractional):
Ir1 0.0000 0.0000 0.0000 x1  3 O 2.15, 3 S 2.29
S1 0.6667 0.3333 0.2487 x1  3 Ir 2.29
O1 0.3333 0.6667 0.8113 x1  3 Ir 2.15

---

Computed, not measured: IrSO3 after structural relaxation at the PBE-GGA level of DFT.

E_tot ... -4.68 eV per atom
Raw formation energy ... 4.44 eV per formula unit
N(E_F) ... 0.67 states/eV/atom
M_tot ... 0.59 μB per atom

Cell: 3.7497 3.7497 3.7497 Å, 90.00 90.00 90.00°
With the nearest neighbours (Å) after each atom.
Space group Pm-3m (No. 221)
Symmetry-distinct sites (fractional):
Ir1 0.0000 0.0000 0.0000 x1  12 O 2.65
S1 0.5000 0.5000 0.5000 x1  6 O 1.87
O1 0.0000 0.5000 0.5000 x3  2 S 1.87

---

Computed, not measured: IrSO after structural relaxation at the PBE-GGA level of DFT.

E_tot ... -6.38 eV per atom
Raw formation energy ... -1.19 eV per formula unit
N(E_F) ... 0.68 states/eV/atom
Energy relative to the lowest polymorph listed for this composition ... 0.00 eV per formula unit
M_tot ... 0.00 μB per atom

Cell: 4.9579 3.4367 5.1706 Å, 90.00 97.78 90.00°
With the nearest neighbours (Å) after each atom.
Space group Pm (No. 6)
Symmetry-distinct sites (fractional):
Ir1 0.0000 0.0000 0.0000 x1  1 O 2.01, 2 S 2.23
Ir2 0.4081 0.5000 0.5225 x1  3 O 2.16, 3 S 2.24-2.28
S1 0.2588 0.5000 0.9116 x1  1 O 1.59
S2 0.7086 0.0000 0.6161 x1  3 Ir 2.28-2.29
O1 0.1717 0.0000 0.3759 x1  3 Ir 2.01-2.16
O2 0.5157 0.5000 0.1322 x1  1 S 1.59

---

Computed, not measured: IrS3O after structural relaxation at the PBE-GGA level of DFT.

E_tot ... -4.07 eV per atom
Raw formation energy ... 5.86 eV per formula unit
N(E_F) ... 1.69 states/eV/atom
Energy relative to the lowest polymorph listed for this composition ... 0.00 eV per formula unit
M_tot ... 0.00 μB per atom

Cell: 4.5827 4.5827 4.5827 Å, 90.00 90.00 90.00°
With the nearest neighbours (Å) after each atom.
Space group Pm-3m (No. 221)
Symmetry-distinct sites (fractional):
Ir1 0.0000 0.0000 0.0000 x1  6 S 2.29
S1 0.0000 0.0000 0.5000 x3  2 Ir 2.29
O1 0.5000 0.5000 0.5000 x1  12 S 3.24

---

Computed, not measured: IrSO after structural relaxation at the PBE-GGA level of DFT.

E_tot ... -6.35 eV per atom
Raw formation energy ... -1.09 eV per formula unit
Energy relative to the lowest polymorph listed for this composition ... 0.10 eV per formula unit
M_tot ... 0.00 μB per atom

Cell: 3.4072 11.5168 4.1448 Å, 90.00 90.00 90.00°
With the nearest neighbours (Å) after each atom.
Space group Imm2 (No. 44)
Symmetry-distinct sites (fractional):
Ir1 0.0000 0.1257 0.0000 x4  2 O 2.21, 3 S 2.23-2.47
S1 0.0000 0.3304 0.8248 x4  1 O 1.61
O1 0.0000 0.3966 0.1679 x4  1 S 1.61

---

Computed, not measured: IrSO after structural relaxation at the PBE-GGA level of DFT.

E_tot ... -6.28 eV per atom
Raw formation energy ... -0.89 eV per formula unit
N(E_F) ... 0.15 states/eV/atom
Energy relative to the lowest polymorph listed for this composition ... 0.30 eV per formula unit
M_tot ... 0.00 μB per atom

Cell: 10.7864 3.3508 5.0953 Å, 90.00 107.25 90.00°
With the nearest neighbours (Å) after each atom.
Space group Cm (No. 8)
Symmetry-distinct sites (fractional):
Ir1 0.0000 0.0000 0.0000 x2  1 O 2.03, 2 S 2.25
Ir2 0.2017 0.5000 0.6736 x2  3 O 2.08-2.14, 1 S 2.24
S1 0.1300 0.5000 0.2126 x2  1 O 1.60
S2 0.3505 0.0000 0.6531 x2  4 Ir 2.34-2.62
O1 0.0809 0.0000 0.6884 x2  3 Ir 2.03-2.14
O2 0.2532 0.5000 0.1004 x2  1 S 1.60

---

Computed, not measured: IrS2O after structural relaxation at the PBE-GGA level of DFT.

E_tot ... -4.80 eV per atom
Raw formation energy ... 2.88 eV per formula unit
N(E_F) ... 0.61 states/eV/atom
M_tot ... 0.00 μB per atom

Cell: 2.8468 2.8468 23.1969 Å, 90.00 90.00 120.00°
With the nearest neighbours (Å) after each atom.
Space group R-3m (No. 166, hexagonal axes)
Symmetry-distinct sites (fractional):
Ir1 0.0000 0.0000 0.0000 x3  2 S 2.26
S1 0.0000 0.0000 0.0974 x6  1 Ir 2.26, 3 O 2.30
O1 0.0000 0.0000 0.5000 x3  6 S 2.30

---

Computed, not measured: Ir2S2O after structural relaxation at the PBE-GGA level of DFT.

E_tot ... -5.94 eV per atom
Raw formation energy ... 1.25 eV per formula unit
N(E_F) ... 0.97 states/eV/atom
Energy relative to the lowest polymorph listed for this composition ... 0.00 eV per formula unit
M_tot ... 0.00 μB per atom

Cell: 4.7663 4.7663 6.5641 Å, 90.00 90.00 90.00°
With the nearest neighbours (Å) after each atom.
Space group I4/mmm (No. 139)
Symmetry-distinct sites (fractional):
Ir1 0.0000 0.0000 0.1862 x4  1 O 2.06
S1 0.0000 0.5000 0.2500 x4  4 Ir 2.42
O1 0.0000 0.0000 0.5000 x2  2 Ir 2.06

---

Computed, not measured: IrSO3 after structural relaxation at the PBE-GGA level of DFT.

E_tot ... -5.30 eV per atom
Raw formation energy ... 1.37 eV per formula unit
N(E_F) ... 0.36 states/eV/atom
M_tot ... 0.00 μB per atom

Cell: 3.8628 3.8628 3.8628 Å, 90.00 90.00 90.00°
With the nearest neighbours (Å) after each atom.
Space group Pm-3m (No. 221)
Symmetry-distinct sites (fractional):
Ir1 0.0000 0.0000 0.0000 x1  6 O 1.93
S1 0.5000 0.5000 0.5000 x1  12 O 2.73
O1 0.0000 0.0000 0.5000 x3  2 Ir 1.93

---

Computed, not measured: IrS3O after structural relaxation at the PBE-GGA level of DFT.

E_tot ... -4.01 eV per atom
Raw formation energy ... 6.13 eV per formula unit
N(E_F) ... 1.21 states/eV/atom
Energy relative to the lowest polymorph listed for this composition ... 0.27 eV per formula unit
M_tot ... 0.00 μB per atom

Cell: 4.1356 4.1356 4.1356 Å, 90.00 90.00 90.00°
With the nearest neighbours (Å) after each atom.
Space group Pm-3m (No. 221)
Symmetry-distinct sites (fractional):
Ir1 0.0000 0.0000 0.0000 x1  12 S 2.92
S1 0.0000 0.5000 0.5000 x3  2 O 2.07
O1 0.5000 0.5000 0.5000 x1  6 S 2.07

---

Computed, not measured: Ir2S2O after structural relaxation at the PBE-GGA level of DFT.

E_tot ... -5.65 eV per atom
Raw formation energy ... 2.67 eV per formula unit
N(E_F) ... 0.72 states/eV/atom
Energy relative to the lowest polymorph listed for this composition ... 1.42 eV per formula unit
M_tot ... 0.00 μB per atom

Cell: 6.5547 6.5547 3.3836 Å, 90.00 90.00 90.00°
With the nearest neighbours (Å) after each atom.
Space group P4/mbm (No. 127)
Symmetry-distinct sites (fractional):
Ir1 0.1952 0.3048 0.0000 x4  2 S 2.24, 2 O 2.37
S1 0.1472 0.6472 0.5000 x4  2 Ir 2.24
O1 0.0000 0.0000 0.0000 x2  4 Ir 2.37

---

Computed, not measured: IrS2O after structural relaxation at the PBE-GGA level of DFT.

E_tot ... -5.22 eV per atom
Raw formation energy ... 1.20 eV per formula unit
N(E_F) ... 0.34 states/eV/atom
M_tot ... 0.00 μB per atom

Cell: 5.2804 5.2804 9.9669 Å, 90.00 90.00 90.00°
With the nearest neighbours (Å) after each atom.
Space group I-42d (No. 122)
Symmetry-distinct sites (fractional):
Ir1 0.0000 0.0000 0.0000 x4  4 S 2.23
S1 0.2464 0.2500 0.1250 x8  2 Ir 2.23, 2 O 2.26
O1 0.0000 0.0000 0.5000 x4  4 S 2.26